Density functional theory data (PBEsol) for a relaxed TcRh2 crystal.

Calculated values
The energy relative to the elements comes out at 0.10 eV per atom. As for the offset from the most stable computed form: 275 meV/atom.

abc: 4.2533 4.2533 2.6361
angles: 90.00 90.00 120.00
Closest atoms and distances in Å follow each position.
Space group P6/mmm (No. 191)
Symmetry-distinct sites (fractional):
Tc  0.0000  0.0000  0.0000 [1 per cell]  2 Tc 2.64, 12 Rh 2.79
Rh  0.3333  0.6667  0.5000 [2 per cell]  5 Rh 2.46-2.64

Density functional theory data (PBEsol) for a relaxed BaPt2Pb crystal.

Calculated values
The energy relative to the elements comes out at -0.44 eV per atom.

abc: 7.8335 4.5421 6.5144
angles: 90.00 113.75 90.00
Closest atoms and distances in Å follow each position.
Space group Cm (No. 8)
Symmetry-distinct sites (fractional):
Ba  0.0000  0.0000  0.0000 [2 per cell]  6 Pt 3.38-3.42, 4 Pb 3.49-3.60
Pt  0.0440  0.5000  0.6308 [2 per cell]  3 Pt 2.62, 3 Pb 2.91-2.92
Pt  0.2130  0.0000  0.6397 [2 per cell]  3 Pt 2.62
Pb  0.3047  0.5000  0.4144 [2 per cell]  6 Pt 2.91-2.95

Density functional theory data (PBEsol) for a relaxed AlFeIr2 crystal.

Calculated values
The energy relative to the elements comes out at -0.28 eV per atom.

abc: 2.7526 2.7526 24.5749
angles: 90.00 90.00 120.00
Closest atoms and distances in Å follow each position.
Space group R-3m (No. 166, hexagonal axes)
Symmetry-distinct sites (fractional):
Al  0.0000  0.0000  0.0000 [3 per cell]  6 Ir 2.58, 6 Al 2.75
Fe  0.0000  0.0000  0.5000 [3 per cell]  6 Ir 2.60, 6 Fe 2.75
Ir  0.0000  0.0000  0.2505 [6 per cell]  3 Al 2.58, 3 Fe 2.60, 6 Ir 2.75

Density functional theory data (PBEsol) for a relaxed Mg2ReW crystal.

Calculated values
The energy relative to the elements comes out at 0.49 eV per atom. As for the offset from the most stable computed form: 92 meV/atom.

abc: 2.8046 2.8046 28.6268
angles: 90.00 90.00 120.00
Closest atoms and distances in Å follow each position.
Space group R-3m (No. 166, hexagonal axes)
Symmetry-distinct sites (fractional):
Mg  0.0000  0.0000  0.2483 [6 per cell]  6 Mg 2.80, 3 Re 2.84, 3 W 2.92
Re  0.0000  0.0000  0.5000 [3 per cell]  6 Re 2.80, 6 Mg 2.84
W  0.0000  0.0000  0.0000 [3 per cell]  6 W 2.80, 6 Mg 2.92

Density functional theory data (PBEsol) for a relaxed ZnReRu2O crystal.

Calculated values
For the uncorrected formation energy, the calculation gives 1.6 eV per formula unit.

abc: 4.0380 4.0380 3.9409
angles: 90.00 90.00 90.00
Closest atoms and distances in Å follow each position.
Space group P4/mmm (No. 123)
Symmetry-distinct sites (fractional):
Zn  0.0000  0.0000  0.0000 [1 per cell]  8 Ru 2.82, 4 Re 2.86
Re  0.5000  0.5000  0.0000 [1 per cell]  2 O 1.97
Ru  0.0000  0.5000  0.5000 [2 per cell]  2 O 2.02
O  0.5000  0.5000  0.5000 [1 per cell]  2 Re 1.97, 4 Ru 2.02

Density functional theory data (PBEsol) for a relaxed MgH12SeO9 crystal.

abc: 8.8745 8.8745 8.5408
angles: 90.00 90.00 120.00
Closest atoms and distances in Å follow each position.
Space group R3 (No. 146, hexagonal axes)
Symmetry-distinct sites (fractional):
Mg  0.0000  0.0000  0.0000 [3 per cell]  6 O 2.06-2.13
H  0.0309  0.4602  0.8318 [9 per cell]  1 O 1.00
H  0.0769  0.7247  0.5343 [9 per cell]  1 O 1.01
H  0.1455  0.3610  0.8276 [9 per cell]  1 O 1.00
H  0.1733  0.6836  0.3982 [9 per cell]  1 O 1.02
Se  0.0000  0.0000  0.4550 [3 per cell]  3 O 1.73
O  0.0086  0.8154  0.8473 [9 per cell]  2 H 1.01-1.02
O  0.1456  0.4714  0.8022 [9 per cell]  2 H 1.00
O  0.1920  0.1414  0.5498 [9 per cell]  3 H 1.57-1.66, 1 Se 1.73

Density functional theory data (PBEsol) for a relaxed Zr2ReTc crystal.

Calculated values
The energy relative to the elements comes out at -0.11 eV per atom.

abc: 6.4606 6.4606 6.4606
angles: 90.00 90.00 90.00
Closest atoms and distances in Å follow each position.
Space group F-43m (No. 216)
Symmetry-distinct sites (fractional):
Zr  0.0000  0.0000  0.0000 [4 per cell]  4 Zr 2.80, 4 Tc 2.80
Zr  0.2500  0.2500  0.2500 [4 per cell]  4 Re 2.80, 4 Zr 2.80
Re  0.0000  0.0000  0.5000 [4 per cell]  4 Tc 2.80, 4 Zr 2.80
Tc  0.2500  0.2500  0.7500 [4 per cell]  4 Zr 2.80, 4 Re 2.80

Density functional theory data (PBEsol) for a relaxed Rb3ZnCu crystal.

Calculated values
The energy relative to the elements comes out at 0.52 eV per atom.

abc: 6.4110 6.4110 6.4110
angles: 90.00 90.00 90.00
Closest atoms and distances in Å follow each position.
Space group Pm-3m (No. 221)
Symmetry-distinct sites (fractional):
Rb  0.0000  0.0000  0.5000 [3 per cell]  2 Cu 3.21
Zn  0.5000  0.5000  0.5000 [1 per cell]  12 Rb 4.53
Cu  0.0000  0.0000  0.0000 [1 per cell]  6 Rb 3.21

Density functional theory data (PBEsol) for a relaxed Ti3CuSn2P6O24 crystal.

Calculated values
For the uncorrected formation energy, the calculation gives -81.4 eV per formula unit.

abc: 8.3843 8.3843 23.0368
angles: 90.00 90.00 120.00
Closest atoms and distances in Å follow each position.
Space group R3 (No. 146, hexagonal axes)
Symmetry-distinct sites (fractional):
Ti  0.0000  0.0000  0.0000 [3 per cell]  6 O 1.92-1.93
Ti  0.0000  0.0000  0.2073 [3 per cell]  6 O 1.91-1.97
Ti  0.0000  0.0000  0.6996 [3 per cell]  3 O 1.85
Cu  0.0000  0.0000  0.5118 [3 per cell]  3 O 1.97
Sn  0.0000  0.0000  0.3778 [3 per cell]  3 O 2.18
Sn  0.0000  0.0000  0.8405 [3 per cell]  3 O 2.29
P  0.0041  0.2911  0.6014 [9 per cell]  4 O 1.52-1.57
P  0.0524  0.6721  0.7706 [9 per cell]  4 O 1.53-1.57
O  0.0228  0.1956  0.9503 [9 per cell]  1 P 1.54
O  0.0625  0.2108  0.2543 [9 per cell]  1 P 1.54
O  0.0865  0.2370  0.5519 [9 per cell]  1 P 1.52
O  0.1498  0.6761  0.7141 [9 per cell]  1 P 1.53
O  0.1596  0.4662  0.3246 [9 per cell]  1 P 1.57
O  0.1614  0.6730  0.4312 [9 per cell]  1 P 1.57
O  0.1766  0.7230  0.8240 [9 per cell]  1 P 1.53
O  0.1868  0.7311  0.1104 [9 per cell]  1 P 1.55

Density functional theory data (PBEsol) for a relaxed BaZr2 crystal.

Calculated values
The energy relative to the elements comes out at 0.54 eV per atom. As for the offset from the most stable computed form: 97 meV/atom.

abc: 3.7911 3.7911 12.6747
angles: 90.00 90.00 90.00
Closest atoms and distances in Å follow each position.
Space group I4/mmm (No. 139)
Symmetry-distinct sites (fractional):
Ba  0.0000  0.0000  0.0000 [2 per cell]  10 Zr 3.71-3.75, 4 Ba 3.79
Zr  0.0000  0.0000  0.2931 [4 per cell]  4 Zr 2.89

Density functional theory data (PBEsol) for a relaxed In2Ga2Ge crystal.

Calculated values
The energy relative to the elements comes out at 0.27 eV per atom.

abc: 4.3902 4.3902 11.6478
angles: 90.00 90.00 90.00
Closest atoms and distances in Å follow each position.
Space group I4/mmm (No. 139)
Symmetry-distinct sites (fractional):
In  0.0000  0.5000  0.2500 [4 per cell]  4 Ga 2.80, 4 In 3.10
Ga  0.0000  0.0000  0.1012 [4 per cell]  1 Ga 2.36
Ge  0.0000  0.0000  0.5000 [2 per cell]  8 Ga 3.32, 8 In 3.65

Density functional theory data (PBEsol) for a relaxed CaNO2F crystal.

Calculated values
For the uncorrected formation energy, the calculation gives -3.4 eV per formula unit.

abc: 3.5009 3.5009 3.9317
angles: 90.00 90.00 90.00
Closest atoms and distances in Å follow each position.
Space group P4/mmm (No. 123)
Symmetry-distinct sites (fractional):
Ca  0.0000  0.0000  0.0000 [1 per cell]  4 F 2.48, 8 O 2.63
N  0.5000  0.5000  0.5000 [1 per cell]  4 O 1.75
O  0.0000  0.5000  0.5000 [2 per cell]  2 N 1.75
F  0.5000  0.5000  0.0000 [1 per cell]  2 N 1.97

Here are the calculated calculated total energy numbers, same order: -9.081, -5.459, -8.457, -7.155, -7.773, -5.229, -10.809, -1.282, -7.776, -6.235, -3.252, -5.300 (eV/atom).
Here are the calculated calculated density numbers, same order: 12.2, 11.5, 14.4, 10.7, 12.1, 2.2, 11.5, 2.4, 3.6, 5.8, 6.5, 3.6 (Mg/m³).